Entry 1:
{
  "formula": "K2RuBr",
  "functional": "PBE",
  "state": "relaxed",
  "lattice_angstrom": [[7.217, 0.000, 0.000], [0.000, 3.512, 0.000], [-1.490, 0.000, 9.829]],
  "species": ["K", "K", "K", "K", "Ru", "Ru", "Br", "Br"],
  "fractional_positions": [[0.241, 0.000, 0.229], [0.259, 0.500, 0.771], [0.741, 0.500, 0.229], [0.759, 0.000, 0.771], [0.000, 0.000, 0.500], [0.500, 0.500, 0.500], [0.000, 0.500, 0.000], [0.500, 0.000, 0.000]],
  "space_group": "No. 12",
  "raw_formation_energy_mev_per_atom": 268,
  "e_above_lowest_polymorph_ev_per_fu": 0.31,
  "total_energy_ev_per_atom": -3.018,
  "magmom_total_mub_per_cell": 4.47
}

***

Entry 2:
{
  "formula": "Cd2PbBr",
  "functional": "PBE",
  "state": "relaxed",
  "lattice_angstrom": [[3.561, 0.000, 0.000], [0.000, 5.238, 0.000], [0.000, 0.000, 12.291]],
  "species": ["Cd", "Cd", "Cd", "Cd", "Pb", "Pb", "Br", "Br"],
  "fractional_positions": [[0.000, 0.000, 0.232], [0.000, 0.000, 0.768], [0.500, 0.500, 0.268], [0.500, 0.500, 0.732], [0.000, 0.500, 0.500], [0.500, 0.000, 0.000], [0.000, 0.500, 0.000], [0.500, 0.000, 0.500]],
  "space_group": "No. 71",
  "raw_formation_energy_mev_per_atom": -117,
  "e_above_lowest_polymorph_ev_per_fu": 0.25,
  "total_energy_ev_per_atom": -1.920,
  "magmom_total_mub_per_cell": 0.00
}

***

Entry 3:
{
  "formula": "La7DyY3",
  "functional": "PBE",
  "state": "relaxed",
  "lattice_angstrom": [[6.637, 0.000, 0.000], [-0.702, 6.777, 0.000], [-1.325, -1.766, 8.685]],
  "species": ["La", "La", "La", "La", "La", "La", "La", "Dy", "Y", "Y", "Y"],
  "fractional_positions": [[0.000, 0.000, 0.000], [0.053, 0.714, 0.646], [0.199, 0.230, 0.706], [0.484, 0.730, 0.916], [0.516, 0.270, 0.084], [0.801, 0.770, 0.294], [0.947, 0.286, 0.354], [0.000, 0.500, 0.000], [0.325, 0.926, 0.330], [0.500, 0.500, 0.500], [0.675, 0.074, 0.670]],
  "space_group": "No. 2",
  "formation_enthalpy_0k_ev_per_atom": 0.1221,
  "e_above_lowest_polymorph_ev_per_fu": 0.00,
  "total_energy_ev_per_atom": -5.195,
  "magmom_total_mub_per_cell": 0.00
}

***

Entry 4:
{
  "formula": "UCuSnRh",
  "functional": "PBE",
  "state": "relaxed",
  "lattice_angstrom": [[6.694, 0.000, 0.000], [0.000, 6.694, 0.000], [0.000, 0.000, 6.694]],
  "species": ["U", "U", "U", "U", "Cu", "Cu", "Cu", "Cu", "Sn", "Sn", "Sn", "Sn", "Rh", "Rh", "Rh", "Rh"],
  "fractional_positions": [[0.000, 0.000, 0.000], [0.000, 0.500, 0.500], [0.500, 0.000, 0.500], [0.500, 0.500, 0.000], [0.250, 0.250, 0.250], [0.250, 0.750, 0.750], [0.750, 0.250, 0.750], [0.750, 0.750, 0.250], [0.000, 0.000, 0.500], [0.000, 0.500, 0.000], [0.500, 0.000, 0.000], [0.500, 0.500, 0.500], [0.250, 0.250, 0.750], [0.250, 0.750, 0.250], [0.750, 0.250, 0.250], [0.750, 0.750, 0.750]],
  "space_group": "No. 216",
  "formation_enthalpy_0k_ev_per_atom": -0.2028,
  "total_energy_ev_per_atom": -6.887,
  "magmom_total_mub_per_cell": 7.31
}

***

Entry 5:
{
  "formula": "Th5CdTc2",
  "functional": "PBE",
  "state": "relaxed",
  "lattice_angstrom": [[-3.994, 3.994, 6.813], [3.994, -3.994, 6.813], [3.994, 3.994, -6.813]],
  "species": ["Th", "Th", "Th", "Th", "Th", "Th", "Th", "Th", "Th", "Th", "Cd", "Cd", "Tc", "Tc", "Tc", "Tc"],
  "fractional_positions": [[0.000, 0.000, 0.000], [0.021, 0.521, 0.813], [0.208, 0.021, 0.500], [0.292, 0.792, 0.813], [0.479, 0.292, 0.500], [0.500, 0.500, 0.000], [0.521, 0.708, 0.500], [0.708, 0.208, 0.187], [0.792, 0.979, 0.500], [0.979, 0.479, 0.187], [0.250, 0.250, 0.000], [0.750, 0.750, 0.000], [0.141, 0.359, 0.500], [0.359, 0.859, 0.219], [0.641, 0.141, 0.781], [0.859, 0.641, 0.500]],
  "space_group": "No. 140",
  "formation_enthalpy_0k_ev_per_atom": -0.1663,
  "total_energy_ev_per_atom": -7.510,
  "magmom_total_mub_per_cell": 0.00
}

***

Entry 6:
{
  "formula": "Y2PdPt2",
  "functional": "PBE",
  "state": "relaxed",
  "lattice_angstrom": [[-2.941, 6.746, 2.887], [2.941, -6.746, 2.887], [2.941, 6.746, -2.887]],
  "species": ["Y", "Y", "Y", "Y", "Pd", "Pd", "Pt", "Pt", "Pt", "Pt"],
  "fractional_positions": [[0.160, 0.238, 0.397], [0.340, 0.738, 0.078], [0.660, 0.262, 0.922], [0.840, 0.762, 0.603], [0.250, 0.750, 0.500], [0.750, 0.250, 0.500], [0.131, 0.760, 0.890], [0.369, 0.260, 0.629], [0.631, 0.740, 0.371], [0.869, 0.240, 0.110]],
  "space_group": "No. 72",
  "formation_enthalpy_0k_ev_per_atom": -0.9757,
  "e_above_lowest_polymorph_ev_per_fu": 0.45,
  "total_energy_ev_per_atom": -7.016,
  "magmom_total_mub_per_cell": 0.00
}

***

Entry 7:
{
  "formula": "NaAc3Co",
  "functional": "PBE",
  "state": "relaxed",
  "lattice_angstrom": [[5.748, 0.000, 0.000], [0.000, 5.748, 0.000], [0.000, 0.000, 5.748]],
  "species": ["Na", "Ac", "Ac", "Ac", "Co"],
  "fractional_positions": [[0.000, 0.000, 0.000], [0.000, 0.500, 0.500], [0.500, 0.000, 0.500], [0.500, 0.500, 0.000], [0.500, 0.500, 0.500]],
  "space_group": "No. 221",
  "formation_enthalpy_0k_ev_per_atom": 0.0198,
  "total_energy_ev_per_atom": -4.130,
  "magmom_total_mub_per_cell": 0.00
}

***

Entry 8:
{
  "formula": "Zn2GaHgC",
  "functional": "PBE",
  "state": "relaxed",
  "lattice_angstrom": [[3.943, 0.000, 0.000], [0.000, 3.943, 0.000], [0.000, 0.000, 5.821]],
  "species": ["Zn", "Zn", "Ga", "Hg", "C"],
  "fractional_positions": [[0.000, 0.500, 0.000], [0.500, 0.000, 0.000], [0.000, 0.000, 0.500], [0.500, 0.500, 0.500], [0.000, 0.000, 0.000]],
  "space_group": "No. 123",
  "formation_enthalpy_0k_ev_per_atom": 0.5275,
  "total_energy_ev_per_atom": -2.493,
  "magmom_total_mub_per_cell": 0.00
}